(1)
A plane-wave DFT calculation with PBE-GGA was carried out for CrSiPb2 after structural relaxation.

Unit cell a=7.264 b=4.189 c=6.954 alpha=90.00 beta=110.20 gamma=90.00
Element x y z (fractional)
Cr: 0.000 0.000 0.000
Cr: 0.500 0.500 0.000
Si: 0.167 0.500 0.000
Si: 0.667 0.000 0.000
Pb: 0.234 0.000 0.699
Pb: 0.431 0.000 0.296
Pb: 0.734 0.500 0.699
Pb: 0.931 0.500 0.296

Results
total energy: -5.31 eV/atom

(2)
A plane-wave DFT calculation with PBE-GGA was carried out for K2BiRuO6 after structural relaxation.

Unit cell a=5.994 b=5.994 c=5.994 alpha=60.04 beta=60.04 gamma=60.04
Element x y z (fractional)
K: 0.250 0.250 0.250
K: 0.750 0.750 0.750
Bi: 0.000 0.000 0.000
Ru: 0.500 0.500 0.500
O: 0.274 0.274 0.726
O: 0.274 0.726 0.274
O: 0.274 0.726 0.726
O: 0.726 0.274 0.274
O: 0.726 0.274 0.726
O: 0.726 0.726 0.274

Results
total energy: -5.62 eV/atom

(3)
A plane-wave DFT calculation with PBE-GGA was carried out for MnRh2Cl2 after structural relaxation.

Unit cell a=4.019 b=4.019 c=11.253 alpha=90.00 beta=90.00 gamma=90.00
Element x y z (fractional)
Mn: 0.000 0.000 0.000
Mn: 0.500 0.500 0.500
Rh: 0.000 0.000 0.392
Rh: 0.000 0.000 0.608
Rh: 0.500 0.500 0.108
Rh: 0.500 0.500 0.892
Cl: 0.000 0.500 0.250
Cl: 0.000 0.500 0.750
Cl: 0.500 0.000 0.250
Cl: 0.500 0.000 0.750

Results
total energy: -4.96 eV/atom
polymorph energy (0 for the lowest one): 2.09 eV per formula unit